First-principles (GGA-PBE) data for an optimized crystal structure of Rb2TeAsSe4, as listed in Alexandria.

Geometry as extended XYZ:
```
16
Lattice="6.125 -6.137 0.000 6.125 6.137 0.000 -5.430 0.000 6.560" Properties=species:S:1:pos:R:3 pbc="T T T"
Rb 0.000 0.000 0.000
Rb -2.715 0.000 3.280
Rb 3.062 3.069 0.000
Rb 0.347 -3.069 3.280
Te 0.347 3.069 3.280
Te 3.062 -3.069 0.000
As 6.125 0.000 0.000
As 3.410 0.000 3.280
Se 3.143 2.768 3.295
Se 0.620 0.222 3.729
Se 0.962 2.768 6.544
Se 3.335 -0.222 0.449
Se 3.485 0.222 6.111
Se 5.858 -2.768 0.016
Se 6.200 -0.222 2.831
Se 3.677 -2.768 3.264
```

Results
crystal system: monoclinic
ρ: 4.64 Mg/m³
formation energy from raw total energies: -3.452 eV/f.u.